A plane-wave DFT calculation with PBE was carried out for an optimized crystal structure of NaSm2ErS4.

Cell lengths 6.8871, 3.9586, 6.8933 Å; angles 90.00, 109.14, 90.00 degrees
Closest atoms and distances in Å follow each position.
Element x y z (fractional)
Na: 0.0000 0.0000 0.0000  6 S 2.79-2.82
Sm: 0.0000 0.5000 0.5000  6 S 2.86
Sm: 0.5000 0.0000 0.5000  6 S 2.81-2.83
Er: 0.5000 0.5000 0.0000  6 S 2.76
S: 0.2552 0.5000 0.2462  1 Er 2.76, 3 Sm 2.81-2.86, 2 Na 2.82
S: 0.2569 0.0000 0.7605  2 Er 2.76, 1 Na 2.79, 3 Sm 2.83-2.86
S: 0.7431 0.0000 0.2395  2 Er 2.76, 1 Na 2.79, 3 Sm 2.83-2.86
S: 0.7448 0.5000 0.7538  1 Er 2.76, 3 Sm 2.81-2.86, 2 Na 2.82

Output
Its space group is P2/m. Its raw formation energy is -1.91 eV per atom.

A plane-wave DFT calculation with PBE was carried out for an optimized crystal structure of NpPaH.

Cell lengths 8.0854, 8.0854, 8.0854 Å; angles 112.11, 81.43, 140.59 degrees
Closest atoms and distances in Å follow each position.
Element x y z (fractional)
Np: 0.0000 0.0000 0.0000  2 Np 2.37
Np: 0.0000 0.5000 0.5000  2 Np 2.37
Np: 0.3097 0.2647 0.2761  2 H 2.26-2.28, 2 Np 2.37-2.43
Np: 0.3097 0.5336 0.5450  2 H 2.26-2.28, 2 Np 2.37-2.43
Np: 0.9885 0.0336 0.7239  2 H 2.26-2.28, 2 Np 2.37-2.43
Np: 0.9885 0.7647 0.4550  2 H 2.26-2.28, 2 Np 2.37-2.43
Pa: 0.2035 0.8477 0.8557  3 H 2.27-2.42
Pa: 0.4469 0.0712 0.3424  2 H 2.35-2.38
Pa: 0.4469 0.6044 0.8757  2 H 2.35-2.38
Pa: 0.7287 0.1044 0.6576  2 H 2.35-2.38
Pa: 0.7287 0.5712 0.1243  2 H 2.35-2.38
Pa: 0.9920 0.3477 0.1443  3 H 2.27-2.42
H: 0.0052 0.0553 0.4499  4 Np 2.26-2.28
H: 0.4396 0.7548 0.1848  1 H 2.12, 3 Pa 2.27-2.35
H: 0.5237 0.9798 0.0439  1 H 2.12, 1 Pa 2.35
H: 0.5700 0.2548 0.8152  1 H 2.12, 3 Pa 2.27-2.35
H: 0.6054 0.5553 0.5501  4 Np 2.26-2.28
H: 0.9359 0.4798 0.9561  1 H 2.12, 1 Pa 2.35

Output
Its space group is Ima2.

A plane-wave DFT calculation with PBE was carried out for an optimized crystal structure of KSiAs2Se.

Cell lengths 4.8947, 4.8947, 5.2156 Å; angles 90.00, 90.00, 90.00 degrees
Closest atoms and distances in Å follow each position.
Element x y z (fractional)
K: 0.0000 0.0000 0.0000  4 Se 3.46, 8 As 3.58
Si: 0.5000 0.5000 0.5000  4 As 2.45, 2 Se 2.61
As: 0.0000 0.5000 0.5000  2 Si 2.45
As: 0.5000 0.0000 0.5000  2 Si 2.45
Se: 0.5000 0.5000 0.0000  2 Si 2.61

Output
Its space group is P4/mmm. Its raw formation energy is 0.13 eV per atom.

A plane-wave DFT calculation with PBE was carried out for an optimized crystal structure of TlSn2P2.

Cell lengths 5.6822, 5.6822, 5.6822 Å; angles 123.00, 123.00, 84.87 degrees
Closest atoms and distances in Å follow each position.
Element x y z (fractional)
Tl: 0.0000 0.0000 0.0000  2 P 3.10, 8 Sn 3.43
Sn: 0.2500 0.7500 0.5000  4 P 2.89
Sn: 0.7500 0.2500 0.5000  4 P 2.89
P: 0.3700 0.3700 0.0000  1 P 2.18
P: 0.6300 0.6300 0.0000  1 P 2.18

Output
Its space group is I4/mmm. For the calculated formation energy, the calculation gives 0.1533 eV per atom.

A plane-wave DFT calculation with PBE was carried out for an optimized crystal structure of K2InOs.

Cell lengths 6.4547, 6.4547, 2.9351 Å; angles 90.07, 90.07, 126.23 degrees
Closest atoms and distances in Å follow each position.
Element x y z (fractional)
K: 0.0000 0.5000 0.0000  4 K 2.92-2.94
K: 0.5000 0.0000 0.0000  4 K 2.92-2.94
In: 0.0000 0.0000 0.5000  2 Os 2.92, 2 In 2.94
Os: 0.5000 0.5000 0.5000  2 In 2.92, 2 Os 2.94

Output
Its space group is C2/m. For the calculated formation energy, the calculation gives 0.9919 eV per atom.

A plane-wave DFT calculation with PBE was carried out for an optimized crystal structure of RbZn9Ag4.

Cell lengths 8.9953, 8.9953, 8.9953 Å; angles 120.02, 120.02, 89.96 degrees
Closest atoms and distances in Å follow each position.
Element x y z (fractional)
Rb: 0.2500 0.2500 0.0000  8 Ag 3.68, 16 Zn 3.70-3.74
Rb: 0.7500 0.7500 0.0000  8 Ag 3.68, 16 Zn 3.70-3.74
Zn: 0.0000 0.5000 0.5000  8 Zn 2.69-2.74, 4 Ag 2.79
Zn: 0.0605 0.7981 0.8586  5 Zn 2.68-2.86, 4 Ag 2.77-2.87
Zn: 0.0660 0.5660 0.2743  6 Zn 2.69-2.87, 4 Ag 2.70-2.84
Zn: 0.2019 0.0605 0.2624  5 Zn 2.68-2.86, 4 Ag 2.77-2.87
Zn: 0.2083 0.9340 0.5000  6 Zn 2.69-2.87, 4 Ag 2.70-2.84
Zn: 0.2917 0.7917 0.7257  6 Zn 2.69-2.87, 4 Ag 2.70-2.84
Zn: 0.2981 0.5605 0.8586  5 Zn 2.68-2.86, 4 Ag 2.77-2.87
Zn: 0.4340 0.7083 0.5000  6 Zn 2.69-2.87, 4 Ag 2.70-2.84
Zn: 0.4395 0.2981 0.7376  5 Zn 2.68-2.86, 4 Ag 2.77-2.87
Zn: 0.5000 0.0000 0.5000  8 Zn 2.69-2.74, 4 Ag 2.79
Zn: 0.5605 0.7019 0.2624  5 Zn 2.68-2.86, 4 Ag 2.77-2.87
Zn: 0.5660 0.2917 0.5000  6 Zn 2.69-2.87, 4 Ag 2.70-2.84
Zn: 0.7019 0.4395 0.1414  5 Zn 2.68-2.86, 4 Ag 2.77-2.87
Zn: 0.7083 0.2083 0.2743  6 Zn 2.69-2.87, 4 Ag 2.70-2.84
Zn: 0.7917 0.0660 0.5000  6 Zn 2.69-2.87, 4 Ag 2.70-2.84
Zn: 0.7981 0.9395 0.7376  5 Zn 2.68-2.86, 4 Ag 2.77-2.87
Zn: 0.9340 0.4340 0.7257  6 Zn 2.69-2.87, 4 Ag 2.70-2.84
Zn: 0.9395 0.2019 0.1414  5 Zn 2.68-2.86, 4 Ag 2.77-2.87
Ag: 0.0625 0.1959 0.5000  9 Zn 2.70-2.87
Ag: 0.1959 0.6959 0.1334  9 Zn 2.70-2.87
Ag: 0.3041 0.4375 0.5000  9 Zn 2.70-2.87
Ag: 0.4375 0.9375 0.1334  9 Zn 2.70-2.87
Ag: 0.5625 0.0625 0.8666  9 Zn 2.70-2.87
Ag: 0.6959 0.5625 0.5000  9 Zn 2.70-2.87
Ag: 0.8041 0.3041 0.8666  9 Zn 2.70-2.87
Ag: 0.9375 0.8041 0.5000  9 Zn 2.70-2.87

Output
Its space group is I4/mcm. For the calculated formation energy, the calculation gives -0.0345 eV per atom.

no.,DOS(E_F) (states/eV per cell),energy (eV per atom)
1,2.59,-5.886
2,31.24,-8.426
3,5.28,-3.730
4,3.20,-4.085
5,2.95,-3.049
6,10.84,-1.737